Entry 1:
# Sc2POs, optimized geometry, DFT GGA-PBE
data_Sc2POs
_chemical_formula_sum 'Sc2 P1 Os1'
_symmetry_space_group_name_H-M 'P 4 m m'
_symmetry_Int_Tables_number 99
_symmetry_space_group_name_Hall 'P 4 -2'
_cell_length_a 3.0251
_cell_length_b 3.0251
_cell_length_c 7.7359
_cell_angle_alpha 90.00
_cell_angle_beta 90.00
_cell_angle_gamma 90.00
loop_
_atom_site_label
_atom_site_fract_x
_atom_site_fract_y
_atom_site_fract_z
Sc1 0.0000 0.0000 0.0000
Sc2 0.5000 0.5000 0.3435
P1 0.5000 0.5000 0.7543
Os1 0.0000 0.0000 0.6026
# electronic total energy: -30.92 eV for the cell shown

Entry 2:
# ScP2Os, optimized geometry, DFT GGA-PBE
data_ScP2Os
_chemical_formula_sum 'Sc3 P6 Os3'
_symmetry_space_group_name_H-M 'R 3 m'
_symmetry_Int_Tables_number 160
_symmetry_space_group_name_Hall 'R 3 -2"'
_cell_length_a 3.0929
_cell_length_b 3.0929
_cell_length_c 23.0005
_cell_angle_alpha 90.00
_cell_angle_beta 90.00
_cell_angle_gamma 120.00
loop_
_atom_site_label
_atom_site_fract_x
_atom_site_fract_y
_atom_site_fract_z
Sc1 0.0000 0.0000 0.0000
P1 0.0000 0.0000 0.5019
P2 0.0000 0.0000 0.7540
Os1 0.0000 0.0000 0.2366
# electronic total energy: -86.61 eV for the cell shown
# excess energy over the best structure of this formula in the dataset: 550 meV per atom

Entry 3:
# ScP4Os, optimized geometry, DFT GGA-PBE
data_ScP4Os
_chemical_formula_sum 'Sc4 P16 Os4'
_symmetry_space_group_name_H-M 'F -4 3 m'
_symmetry_Int_Tables_number 216
_symmetry_space_group_name_Hall 'F -4 2 3'
_cell_length_a 7.0639
_cell_length_b 7.0639
_cell_length_c 7.0639
_cell_angle_alpha 90.00
_cell_angle_beta 90.00
_cell_angle_gamma 90.00
loop_
_atom_site_label
_atom_site_fract_x
_atom_site_fract_y
_atom_site_fract_z
Sc1 0.0000 0.0000 0.0000
P1 0.1243 0.1243 0.3757
Os1 0.2500 0.2500 0.7500
# electronic total energy: -146.15 eV for the cell shown

Entry 4:
# Sc3POs, optimized geometry, DFT GGA-PBE
data_Sc3POs
_chemical_formula_sum 'Sc3 P1 Os1'
_symmetry_space_group_name_H-M 'P m -3 m'
_symmetry_Int_Tables_number 221
_symmetry_space_group_name_Hall '-P 4 2 3'
_cell_length_a 4.9578
_cell_length_b 4.9578
_cell_length_c 4.9578
_cell_angle_alpha 90.00
_cell_angle_beta 90.00
_cell_angle_gamma 90.00
loop_
_atom_site_label
_atom_site_fract_x
_atom_site_fract_y
_atom_site_fract_z
Sc1 0.0000 0.0000 0.5000
P1 0.5000 0.5000 0.5000
Os1 0.0000 0.0000 0.0000
# electronic total energy: -35.32 eV for the cell shown
# excess energy over the best structure of this formula in the dataset: 62 meV per atom

Entry 5:
# ScP2Os, optimized geometry, DFT GGA-PBE
data_ScP2Os
_chemical_formula_sum 'Sc2 P4 Os2'
_symmetry_space_group_name_H-M 'I m m m'
_symmetry_Int_Tables_number 71
_symmetry_space_group_name_Hall '-I 2 2'
_cell_length_a 3.9224
_cell_length_b 4.9473
_cell_length_c 6.3436
_cell_angle_alpha 90.00
_cell_angle_beta 90.00
_cell_angle_gamma 90.00
loop_
_atom_site_label
_atom_site_fract_x
_atom_site_fract_y
_atom_site_fract_z
Sc1 0.0000 0.0000 0.0000
P1 0.0000 0.5000 0.2153
Os1 0.0000 0.0000 0.5000
# electronic total energy: -60.55 eV for the cell shown
# excess energy over the best structure of this formula in the dataset: 199 meV per atom

Entry 6:
# Sc2POs, optimized geometry, DFT GGA-PBE
data_Sc2POs
_chemical_formula_sum 'Sc8 P4 Os4'
_symmetry_space_group_name_H-M 'F -4 3 m'
_symmetry_Int_Tables_number 216
_symmetry_space_group_name_Hall 'F -4 2 3'
_cell_length_a 6.3436
_cell_length_b 6.3436
_cell_length_c 6.3436
_cell_angle_alpha 90.00
_cell_angle_beta 90.00
_cell_angle_gamma 90.00
loop_
_atom_site_label
_atom_site_fract_x
_atom_site_fract_y
_atom_site_fract_z
Sc1 0.0000 0.0000 0.0000
Sc2 0.2500 0.2500 0.2500
P1 0.2500 0.2500 0.7500
Os1 0.0000 0.0000 0.5000
# electronic total energy: -122.24 eV for the cell shown

Entry 7:
# ScP2Os, optimized geometry, DFT GGA-PBE
data_ScP2Os
_chemical_formula_sum 'Sc4 P8 Os4'
_symmetry_space_group_name_H-M 'I -4 2 d'
_symmetry_Int_Tables_number 122
_symmetry_space_group_name_Hall 'I -4 2bw'
_cell_length_a 5.2894
_cell_length_b 5.2894
_cell_length_c 12.1274
_cell_angle_alpha 90.00
_cell_angle_beta 90.00
_cell_angle_gamma 90.00
loop_
_atom_site_label
_atom_site_fract_x
_atom_site_fract_y
_atom_site_fract_z
Sc1 0.0000 0.0000 0.0000
P1 0.1941 0.2500 0.6250
Os1 0.0000 0.0000 0.5000
# electronic total energy: -119.42 eV for the cell shown
# excess energy over the best structure of this formula in the dataset: 304 meV per atom

Entry 8:
# ScP2Os, optimized geometry, DFT GGA-PBE
data_ScP2Os
_chemical_formula_sum 'Sc2 P4 Os2'
_symmetry_space_group_name_H-M 'C 1 m 1'
_symmetry_Int_Tables_number 8
_symmetry_space_group_name_Hall 'C -2y'
_cell_length_a 8.6742
_cell_length_b 3.0921
_cell_length_c 4.6795
_cell_angle_alpha 90.00
_cell_angle_beta 104.44
_cell_angle_gamma 90.00
loop_
_atom_site_label
_atom_site_fract_x
_atom_site_fract_y
_atom_site_fract_z
Sc1 0.0000 0.0000 0.0000
P1 0.0066 0.5000 0.4937
P2 0.2473 0.5000 0.1962
Os1 0.2326 0.0000 0.5974
# electronic total energy: -60.82 eV for the cell shown
# excess energy over the best structure of this formula in the dataset: 165 meV per atom

Entry 9:
# ScP2Os, optimized geometry, DFT GGA-PBE
data_ScP2Os
_chemical_formula_sum 'Sc1 P2 Os1'
_symmetry_space_group_name_H-M 'P 4 m m'
_symmetry_Int_Tables_number 99
_symmetry_space_group_name_Hall 'P 4 -2'
_cell_length_a 2.9817
_cell_length_b 2.9817
_cell_length_c 7.8499
_cell_angle_alpha 90.00
_cell_angle_beta 90.00
_cell_angle_gamma 90.00
loop_
_atom_site_label
_atom_site_fract_x
_atom_site_fract_y
_atom_site_fract_z
Sc1 0.0000 0.0000 0.0000
P1 0.0000 0.0000 0.4128
P2 0.5000 0.5000 0.7772
Os1 0.5000 0.5000 0.2650
# electronic total energy: -29.54 eV for the cell shown
# excess energy over the best structure of this formula in the dataset: 383 meV per atom

Entry 10:
# Sc2POs, optimized geometry, DFT GGA-PBE
data_Sc2POs
_chemical_formula_sum 'Sc4 P2 Os2'
_symmetry_space_group_name_H-M 'I m m 2'
_symmetry_Int_Tables_number 44
_symmetry_space_group_name_Hall 'I 2 -2'
_cell_length_a 3.1694
_cell_length_b 4.2993
_cell_length_c 10.5140
_cell_angle_alpha 90.00
_cell_angle_beta 90.00
_cell_angle_gamma 90.00
loop_
_atom_site_label
_atom_site_fract_x
_atom_site_fract_y
_atom_site_fract_z
Sc1 0.0000 0.0000 0.0000
Sc2 0.0000 0.5000 0.2295
P1 0.0000 0.5000 0.8112
Os1 0.0000 0.0000 0.4841
# electronic total energy: -63.81 eV for the cell shown

Entry 11:
# Sc2POs, optimized geometry, DFT GGA-PBE
data_Sc2POs
_chemical_formula_sum 'Sc4 P2 Os2'
_symmetry_space_group_name_H-M 'A m m 2'
_symmetry_Int_Tables_number 38
_symmetry_space_group_name_Hall 'A 2 -2'
_cell_length_a 3.7330
_cell_length_b 3.8545
_cell_length_c 9.9699
_cell_angle_alpha 90.00
_cell_angle_beta 90.00
_cell_angle_gamma 90.00
loop_
_atom_site_label
_atom_site_fract_x
_atom_site_fract_y
_atom_site_fract_z
Sc1 0.0000 0.0000 0.0000
Sc2 0.5000 0.0000 0.2837
P1 0.0000 0.0000 0.7192
Os1 0.5000 0.0000 0.5668
# electronic total energy: -65.00 eV for the cell shown

Entry 12:
# Sc2POs, optimized geometry, DFT GGA-PBE
data_Sc2POs
_chemical_formula_sum 'Sc4 P2 Os2'
_symmetry_space_group_name_H-M 'I -4 m 2'
_symmetry_Int_Tables_number 119
_symmetry_space_group_name_Hall 'I -4 -2'
_cell_length_a 3.8192
_cell_length_b 3.8192
_cell_length_c 9.2039
_cell_angle_alpha 90.00
_cell_angle_beta 90.00
_cell_angle_gamma 90.00
loop_
_atom_site_label
_atom_site_fract_x
_atom_site_fract_y
_atom_site_fract_z
Sc1 0.0000 0.0000 0.0000
Sc2 0.0000 0.5000 0.2500
P1 0.0000 0.0000 0.5000
Os1 0.0000 0.5000 0.7500
# electronic total energy: -62.40 eV for the cell shown